! Ba6PI3Cl2 (PBE, relaxed); values from VASP
&SYSTEM
  ibrav = 0, nat = 12, ntyp = 4
/
ATOMIC_SPECIES
Ba 137.33 Ba.upf
P 30.97 P.upf
I 126.90 I.upf
Cl 35.45 Cl.upf
ATOMIC_POSITIONS crystal
Ba 0.0698 0.3919 0.2090
Ba 0.2506 0.2506 0.7878
Ba 0.3919 0.0698 0.2090
Ba 0.6081 0.9302 0.7910
Ba 0.7494 0.7494 0.2122
Ba 0.9302 0.6081 0.7910
P 0.0000 0.0000 0.0000
I 0.1691 0.8309 0.5000
I 0.5000 0.5000 0.5000
I 0.8309 0.1691 0.5000
Cl 0.3336 0.6664 0.0000
Cl 0.6664 0.3336 0.0000
CELL_PARAMETERS angstrom
4.0293 -6.9799 0.0000
4.0293 6.9799 0.0000
-2.6787 0.0000 8.3357
! - E_tot (eV for the cell shown) = -43.5
! - formation energy without anion corrections (eV per atom) = -1.52